A relaxed Pa2CoMoN5 crystal, computed with GGA-PBE.

Values from the calculation:
- Raw formation energy: -0.929 eV per atom
- M_tot: 0.00 μB/f.u.
- Volume: 419.08 Å³/cell
- N(E_F): 0.623 states/eV/atom

Lattice parameters (Å, degrees): 3.2700 12.8912 9.9417 90.00 90.00 90.00
Closest atoms and distances in Å follow each position.
Space group Cmc2_1 (No. 36)
Inequivalent atoms, fractional coordinates:
1 Pa 0.0000 0.1067 0.0000 [4 per cell]  6 N 2.30-2.48
2 Pa 0.0000 0.1430 0.6264 [4 per cell]  7 N 2.37-2.49
3 Co 0.0000 0.4690 0.7669 [4 per cell]  4 N 1.91-2.08
4 Mo 0.0000 0.1939 0.3288 [4 per cell]  1 N 1.91
5 N 0.0000 0.0499 0.3758 [4 per cell]  1 Mo 1.91, 2 Co 1.98
6 N 0.0000 0.2845 0.9758 [4 per cell]  2 Mo 2.21, 3 Pa 2.30-2.41
7 N 0.0000 0.3215 0.6822 [4 per cell]  1 Co 2.08, 2 Mo 2.20
8 N 0.0000 0.3680 0.3147 [4 per cell]  1 Co 2.15, 1 Mo 2.25
9 N 0.0000 0.4875 0.0836 [4 per cell]  1 Co 1.91

=====

A relaxed Ni2MoAu crystal, computed with GGA-PBE.

Values from the calculation:
- Energy of formation from the pure elements: 0.12 eV per atom
- M_tot: 0.00 μB/f.u.
- Volume: 55.06 Å³/cell
- N(E_F): 0.998 states/eV/atom

Lattice parameters (Å, degrees): 2.6831 4.1173 5.1603 90.00 105.00 90.00
Closest atoms and distances in Å follow each position.
Space group Pm (No. 6)
Inequivalent atoms, fractional coordinates:
1 Ni 0.0000 0.0000 0.0000 [1 per cell]  4 Ni 2.44-2.68, 1 Au 2.59, 4 Mo 2.64-2.65
2 Ni 0.1350 0.5000 0.2618 [1 per cell]  4 Ni 2.44-2.68, 3 Mo 2.65-2.70, 4 Au 2.69
3 Mo 0.4035 0.5000 0.8028 [1 per cell]  7 Ni 2.64-2.70, 2 Mo 2.68, 4 Au 2.94
4 Au 0.7434 0.0000 0.4804 [1 per cell]  7 Ni 2.59-2.75, 2 Au 2.68

=====

A relaxed TaGa3Pt crystal, computed with GGA-PBE.

Values from the calculation:
- Energy of formation from the pure elements: 0.98 eV per atom
- M_tot: 0.00 μB/f.u.
- Volume: 121.14 Å³/cell
- N(E_F): 0.740 states/eV/atom
- Polymorph energy (0 for the lowest one): 363 meV per atom

Lattice parameters (Å, degrees): 4.9480 4.9480 4.9480 90.00 90.00 90.00
Closest atoms and distances in Å follow each position.
Space group Pm-3m (No. 221)
Inequivalent atoms, fractional coordinates:
1 Ta 0.0000 0.0000 0.0000 [1 per cell]  6 Ga 2.47
2 Ga 0.0000 0.0000 0.5000 [3 per cell]  2 Ta 2.47
3 Pt 0.5000 0.5000 0.5000 [1 per cell]  12 Ga 3.50

=====

A relaxed FePt14W crystal, computed with GGA-PBE.

Values from the calculation:
- Energy of formation from the pure elements: -0.16 eV per atom
- M_tot: 4.96 μB/f.u.
- Volume: 247.86 Å³/cell
- N(E_F): 1.294 states/eV/atom

Lattice parameters (Å, degrees): 5.6203 5.6203 7.8467 90.00 90.00 90.00
Closest atoms and distances in Å follow each position.
Space group P4/mmm (No. 123)
Inequivalent atoms, fractional coordinates:
1 Fe 0.0000 0.0000 0.0000 [1 per cell]  12 Pt 2.75-2.81
2 Pt 0.0000 0.0000 0.5000 [1 per cell]  12 Pt 2.81-2.84
3 Pt 0.0000 0.5000 0.0000 [2 per cell]  8 Pt 2.74, 2 W 2.81, 2 Fe 2.81
4 Pt 0.0000 0.5000 0.5000 [2 per cell]  12 Pt 2.81-2.84
5 Pt 0.2505 0.2505 0.2413 [8 per cell]  1 W 2.74, 10 Pt 2.74-2.84, 1 Fe 2.75
6 Pt 0.5000 0.5000 0.5000 [1 per cell]  12 Pt 2.81-2.84
7 W 0.5000 0.5000 0.0000 [1 per cell]  12 Pt 2.74-2.81

=====

A relaxed LaTe2RuN crystal, computed with GGA-PBE.

Values from the calculation:
- Raw formation energy: 0.962 eV per atom
- M_tot: 2.75 μB/f.u.
- Volume: 157.10 Å³/cell
- N(E_F): 1.365 states/eV/atom
- Polymorph energy (0 for the lowest one): 1403 meV per atom

Lattice parameters (Å, degrees): 6.2890 6.2890 3.9720 90.00 90.00 90.00
Closest atoms and distances in Å follow each position.
Space group P4/mmm (No. 123)
Inequivalent atoms, fractional coordinates:
1 La 0.0000 0.0000 0.0000 [1 per cell]  2 N 1.99
2 Te 0.0000 0.5000 0.0000 [2 per cell]  2 La 3.14
3 Ru 0.5000 0.5000 0.5000 [1 per cell]  8 Te 3.72, 2 Ru 3.97
4 N 0.0000 0.0000 0.5000 [1 per cell]  2 La 1.99

=====

A relaxed InAgGeO4 crystal, computed with GGA-PBE.

Values from the calculation:
- Raw formation energy: -1.219 eV per atom
- M_tot: 0.00 μB/f.u.
- Volume: 240.05 Å³/cell

Lattice parameters (Å, degrees): 5.4743 5.4743 8.0102 90.00 90.00 90.00
Closest atoms and distances in Å follow each position.
Space group I-4 (No. 82)
Inequivalent atoms, fractional coordinates:
1 In 0.0000 0.0000 0.0000 [2 per cell]  4 O 2.08
2 Ag 0.0000 0.0000 0.5000 [2 per cell]  4 O 2.41
3 Ge 0.0000 0.5000 0.2500 [2 per cell]  4 O 1.78
4 O 0.1661 0.2847 0.1288 [8 per cell]  1 Ge 1.78

=====

A relaxed MgNiGe crystal, computed with GGA-PBE.

Values from the calculation:
- Energy of formation from the pure elements: -0.37 eV per atom
- M_tot: 0.00 μB/f.u.
- Volume: 184.75 Å³/cell
- N(E_F): 0.378 states/eV/atom

Lattice parameters (Å, degrees): 6.5021 4.0941 6.9402 90.00 90.00 90.00
Closest atoms and distances in Å follow each position.
Space group Pnma (No. 62)
Inequivalent atoms, fractional coordinates:
1 Mg 0.0028 0.2500 0.1880 [4 per cell]  4 Ni 2.75-2.89, 5 Ge 2.82-2.85
2 Ni 0.1561 0.7500 0.4443 [4 per cell]  4 Ge 2.40-2.43
3 Ge 0.2096 0.2500 0.6171 [4 per cell]  4 Ni 2.40-2.43

=====

A relaxed BaZnCdPd3 crystal, computed with GGA-PBE.

Values from the calculation:
- Energy of formation from the pure elements: -0.30 eV per atom
- M_tot: 0.00 μB/f.u.
- Volume: 556.80 Å³/cell
- N(E_F): 0.157 states/eV/atom

Lattice parameters (Å, degrees): 7.0731 12.9991 6.0559 90.00 90.00 90.00
Closest atoms and distances in Å follow each position.
Space group Cmcm (No. 63)
Inequivalent atoms, fractional coordinates:
1 Ba 0.0000 0.2084 0.2500 [4 per cell]  2 Zn 3.21, 1 Cd 3.36, 8 Pd 3.37-3.56
2 Zn 0.0000 0.1273 0.7500 [4 per cell]  5 Pd 2.53-2.62
3 Cd 0.0000 0.4667 0.2500 [4 per cell]  5 Pd 2.69-2.75
4 Pd 0.0000 0.3218 0.7500 [4 per cell]  1 Zn 2.53, 1 Cd 2.75
5 Pd 0.1911 0.0000 0.0000 [8 per cell]  2 Zn 2.62, 2 Cd 2.69, 1 Pd 2.70

=====

A relaxed Sm2CdSiO6 crystal, computed with GGA-PBE.

Values from the calculation:
- Raw formation energy: -2.616 eV per atom
- M_tot: 0.00 μB/f.u.
- Volume: 137.86 Å³/cell
- N(E_F): 0.000 states/eV/atom

Lattice parameters (Å, degrees): 5.2946 5.2946 4.9177 90.00 90.00 90.00
Closest atoms and distances in Å follow each position.
Space group P4mm (No. 99)
Inequivalent atoms, fractional coordinates:
1 Sm 0.0000 0.5000 0.0000 [2 per cell]  4 O 2.32
2 Cd 0.0000 0.0000 0.5432 [1 per cell]  5 O 2.12-2.26
3 Si 0.5000 0.5000 0.6072 [1 per cell]  5 O 1.68-1.76
4 O 0.0000 0.0000 0.1116 [1 per cell]  1 Cd 2.12
5 O 0.2772 0.2772 0.7229 [4 per cell]  1 Si 1.76
6 O 0.5000 0.5000 0.2660 [1 per cell]  1 Si 1.68

=====

A relaxed Y3Zn3Ag2 crystal, computed with GGA-PBE.

Values from the calculation:
- Energy of formation from the pure elements: -0.25 eV per atom
- M_tot: 0.00 μB/f.u.
- Volume: 180.19 Å³/cell
- N(E_F): 1.094 states/eV/atom

Lattice parameters (Å, degrees): 7.1743 7.1743 4.0424 90.00 90.00 120.00
Closest atoms and distances in Å follow each position.
Space group P-62m (No. 189)
Inequivalent atoms, fractional coordinates:
1 Y 0.0000 0.3832 0.0000 [3 per cell]  4 Ag 3.01, 4 Zn 3.13
2 Zn 0.0000 0.7740 0.5000 [3 per cell]  2 Zn 2.81, 2 Ag 2.86, 4 Y 3.13
3 Ag 0.3333 0.6667 0.5000 [2 per cell]  3 Zn 2.86, 6 Y 3.01

=====

A relaxed K3Ce3PdS8 crystal, computed with GGA-PBE.

Values from the calculation:
- Raw formation energy: -1.450 eV per atom
- M_tot: 1.10 μB/f.u.
- Volume: 838.64 Å³/cell
- N(E_F): 0.978 states/eV/atom

Lattice parameters (Å, degrees): 13.8761 8.1079 8.7710 90.00 121.80 90.00
Closest atoms and distances in Å follow each position.
Space group C2/m (No. 12)
Inequivalent atoms, fractional coordinates:
1 K 0.0000 0.0000 0.0000 [2 per cell]  6 S 3.18-3.24
2 K 0.2500 0.2500 0.0000 [4 per cell]  6 S 3.20-3.26
3 Ce 0.0000 0.5000 0.5000 [2 per cell]  6 S 2.76-2.79
4 Ce 0.2500 0.2500 0.5000 [4 per cell]  6 S 2.73-2.80
5 Pd 0.0000 0.0000 0.5000 [2 per cell]  2 S 2.47
6 S 0.0186 0.2508 0.3027 [8 per cell]  2 Ce 2.73-2.76, 1 Pd 2.77
7 S 0.2094 0.0000 0.6797 [4 per cell]  1 Pd 2.47
8 S 0.2362 0.5000 0.7075 [4 per cell]  3 Ce 2.79-2.80